## CaAuN2 (GGA-PBEsol)

Data for a geometry-optimized CaAuN2 structure.

## Properties
Energy relative to the elements, uncorrected   0.7416 eV per atom
Excess energy over the best structure of this formula in the dataset   0.249 eV/atom
Symmetry   Fm-3m
DOS at the Fermi energy   0.890 states/eV per atom

POSCAR file:
```
CaAuN2
1.0
4.117 0.000 0.000
2.059 3.566 0.000
2.059 1.189 3.362
Ca Au N
1 1 2
direct
0.000 0.000 0.000
0.500 0.500 0.500
0.250 0.250 0.250
0.750 0.750 0.750
```


## CaAuN2 (GGA-PBEsol)

Data for a geometry-optimized CaAuN2 structure.

## Properties
Energy relative to the elements, uncorrected   0.4927 eV per atom
Excess energy over the best structure of this formula in the dataset   0.000 eV/atom
Symmetry   I-42d
DOS at the Fermi energy   0.530 states/eV per atom

POSCAR file:
```
CaAuN2
1.0
4.792 0.000 0.000
0.000 4.792 0.000
-2.396 -2.396 5.511
Ca Au N
2 2 4
direct
0.750 0.250 0.500
0.500 0.500 0.000
0.250 0.750 0.500
0.000 0.000 0.000
0.319 0.875 0.250
0.931 0.375 0.250
0.125 0.069 0.750
0.625 0.681 0.750
```


## CaNiAu2N (GGA-PBEsol)

Data for a geometry-optimized CaNiAu2N structure.

## Properties
Energy relative to the elements, uncorrected   0.0740 eV per atom
Symmetry   P4/mmm
DOS at the Fermi energy   0.589 states/eV per atom

POSCAR file:
```
CaNiAu2N
1.0
-0.981 -2.604 -2.103
0.578 -3.223 3.722
-4.722 0.698 1.338
Ni Ca Au N
1 1 2 1
direct
0.000 0.000 0.000
0.500 0.500 0.500
0.000 0.000 0.500
0.000 0.500 0.000
0.500 0.000 0.000
```


## CaTe2AuN (GGA-PBEsol)

Data for a geometry-optimized CaTe2AuN structure.

## Properties
Energy relative to the elements, uncorrected   0.1577 eV per atom
Symmetry   P4/mmm
DOS at the Fermi energy   0.610 states/eV per atom

POSCAR file:
```
CaTe2AuN
1.0
3.880 0.000 0.000
0.000 5.638 0.000
0.000 0.000 5.638
Ca Te Au N
1 2 1 1
direct
0.500 0.500 0.500
0.000 0.000 0.500
0.000 0.500 0.000
0.000 0.000 0.000
0.500 0.000 0.000
```


## CaTeAu2N (GGA-PBEsol)

Data for a geometry-optimized CaTeAu2N structure.

## Properties
Energy relative to the elements, uncorrected   0.0809 eV per atom
Symmetry   P4/mmm
DOS at the Fermi energy   0.258 states/eV per atom

POSCAR file:
```
CaTeAu2N
1.0
-2.528 2.946 -1.668
-3.195 -2.764 -0.040
-1.551 1.716 5.380
Ca Te Au N
1 1 2 1
direct
0.500 0.500 0.500
0.000 0.000 0.500
0.000 0.500 0.000
0.500 0.000 0.000
0.000 0.000 0.000
```


## NaCa3Au (GGA-PBEsol)

Data for a geometry-optimized NaCa3Au structure.

## Properties
Excess energy over the best structure of this formula in the dataset   0.000 eV/atom
DFT formation energy   -0.29 eV per atom
Symmetry   Pm-3m
DOS at the Fermi energy   0.646 states/eV per atom

POSCAR file:
```
NaCa3Au
1.0
-2.010 -4.799 2.378
4.333 0.036 3.735
-3.148 3.114 3.622
Na Ca Au
1 3 1
direct
0.500 0.500 0.500
0.000 0.500 0.000
0.000 0.000 0.500
0.500 0.000 0.000
0.000 0.000 0.000
```


## NaCa3Au (GGA-PBEsol)

Data for a geometry-optimized NaCa3Au structure.

## Properties
Excess energy over the best structure of this formula in the dataset   0.881 eV/atom
DFT formation energy   0.59 eV per atom
Symmetry   Pm-3m
DOS at the Fermi energy   0.718 states/eV per atom

POSCAR file:
```
NaCa3Au
1.0
-1.553 -3.795 3.993
5.236 0.272 2.295
-1.711 4.276 3.398
Na Ca Au
1 3 1
direct
0.000 0.000 0.000
0.000 0.500 0.000
0.000 0.000 0.500
0.500 0.000 0.000
0.500 0.500 0.500
```


## NaCaTaAu2 (GGA-PBEsol)

Data for a geometry-optimized NaCaTaAu2 structure.

## Properties
DFT formation energy   1.34 eV per atom
Symmetry   P4/mmm
DOS at the Fermi energy   0.833 states/eV per atom

POSCAR file:
```
NaCaTaAu2
1.0
4.531 0.000 0.000
0.000 4.974 0.000
0.000 0.000 4.974
Na Ca Au Ta
1 1 2 1
direct
0.500 0.000 0.000
0.000 0.000 0.000
0.000 0.000 0.500
0.000 0.500 0.000
0.500 0.500 0.500
```


## CaNb2TlAu (GGA-PBEsol)

Data for a geometry-optimized CaNb2TlAu structure.

## Properties
DFT formation energy   0.95 eV per atom
Symmetry   P4/mmm
DOS at the Fermi energy   1.247 states/eV per atom

POSCAR file:
```
CaNb2TlAu
1.0
4.993 0.000 0.000
0.000 4.993 0.000
0.000 0.000 5.301
Tl Ca Au Nb
1 1 1 2
direct
0.500 0.500 0.500
0.000 0.000 0.500
0.000 0.000 0.000
0.000 0.500 0.000
0.500 0.000 0.000
```


## CaNdAu2 (GGA-PBEsol)

Data for a geometry-optimized CaNdAu2 structure.

## Properties
DFT formation energy   -0.77 eV per atom
Symmetry   Fm-3m
DOS at the Fermi energy   0.665 states/eV per atom

POSCAR file:
```
CaNdAu2
1.0
5.094 0.000 0.000
2.547 4.412 0.000
2.547 1.471 4.160
Au Ca Nd
2 1 1
direct
0.250 0.250 0.250
0.750 0.750 0.750
0.000 0.000 0.000
0.500 0.500 0.500
```


## CaNiAu4 (GGA-PBEsol)

Data for a geometry-optimized CaNiAu4 structure.

## Properties
DFT formation energy   -0.15 eV per atom
Symmetry   F-43m
DOS at the Fermi energy   0.534 states/eV per atom

POSCAR file:
```
CaNiAu4
1.0
-3.361 -0.290 4.217
-5.263 -0.907 -0.799
-2.166 -4.743 1.405
Au Ca Ni
4 1 1
direct
0.375 0.375 0.375
0.375 0.375 0.876
0.876 0.375 0.375
0.375 0.876 0.375
0.750 0.750 0.750
0.000 0.000 0.000
```


## Ca2NiAu (GGA-PBEsol)

Data for a geometry-optimized Ca2NiAu structure.

## Properties
DFT formation energy   -0.41 eV per atom
Symmetry   Amm2
DOS at the Fermi energy   0.412 states/eV per atom

POSCAR file:
```
Ca2NiAu
1.0
-3.496 -1.822 -1.085
2.057 -3.616 -0.557
0.848 -0.384 5.620
Ni Ca Au
1 2 1
direct
0.815 0.000 0.630
0.105 0.000 0.211
0.392 0.500 0.783
0.681 0.500 0.362
```


## CaNi2Au2 (GGA-PBEsol)

Data for a geometry-optimized CaNi2Au2 structure.

## Properties
DFT formation energy   -0.12 eV per atom
Symmetry   I4/mmm
DOS at the Fermi energy   1.071 states/eV per atom

POSCAR file:
```
CaNi2Au2
1.0
4.104 0.000 0.000
0.000 4.104 0.000
-2.052 -2.052 5.167
Ni Ca Au
2 1 2
direct
0.394 0.394 0.788
0.606 0.606 0.212
0.000 0.000 0.000
0.250 0.750 0.500
0.750 0.250 0.500
```


## Ca3NiAu (GGA-PBEsol)

Data for a geometry-optimized Ca3NiAu structure.

## Properties
DFT formation energy   0.23 eV per atom
Symmetry   Pm-3m
DOS at the Fermi energy   1.253 states/eV per atom

POSCAR file:
```
Ca3NiAu
1.0
-2.412 -1.721 4.594
3.470 -4.217 0.242
3.468 3.023 2.954
Ni Ca Au
1 3 1
direct
0.500 0.500 0.500
0.000 0.500 0.000
0.000 0.000 0.500
0.500 0.000 0.000
0.000 0.000 0.000
```